Entry from the Alexandria database: CaTaBr2 after structural relaxation (PBE).

Values from the calculation:
Uncorrected formation energy, eV/atom: -0.18
Fermi-level density of states, states/eV/atom: 1.226
Volume, Å³ per cell: 96.51
Offset from the most stable computed form, meV per atom: 233
Final energy, eV/atom: -4.483
SG: No. 166

a b c (Å): 9.6396 9.6396 9.6396
angles (deg): 20.54 20.54 20.54
Closest atoms and distances in Å follow each position.
Positions (direct):
Ca  0.0000  0.0000  0.0000  6 Br 2.89
Ta  0.5000  0.5000  0.5000  2 Br 2.62
Br  0.4075  0.4075  0.4075  1 Ta 2.62, 3 Ca 2.89
Br  0.5925  0.5925  0.5925  1 Ta 2.62, 3 Ca 2.89

Entry from the Alexandria database: CdTe2As after structural relaxation (PBE).

Values from the calculation:
Uncorrected formation energy, eV/atom: 0.26
Fermi-level density of states, states/eV/atom: 0.507
Volume, Å³ per cell: 109.22
Offset from the most stable computed form, meV per atom: 342
Final energy, eV/atom: -2.701
SG: No. 166

a b c (Å): 12.4118 12.4118 12.4118
angles (deg): 14.84 14.84 14.84
Closest atoms and distances in Å follow each position.
Positions (direct):
Cd  0.0000  0.0000  0.0000  6 Cd 3.21
Te  0.4213  0.4213  0.4213  1 As 2.90, 6 Te 3.21
Te  0.5787  0.5787  0.5787  1 As 2.90, 6 Te 3.21
As  0.5000  0.5000  0.5000  2 Te 2.90, 6 As 3.21